TbNdSmTh | PBE | optimized geometry

Summary:
- Fermi-level density of states: 8.5 states/eV/cell
- Crystal system: cubic
- Energy above the lowest structure with this stoichiometry: 0.1430 eV per atom
- ΔE_f: 168 meV/atom
- Space group: No. 216

abc: 5.735 5.735 5.735
angles: 60.00 60.00 60.00
Positions (direct):
Tb 0.000 0.000 0.000
Nd 0.250 0.250 0.250
Sm 0.500 0.500 0.500
Th 0.750 0.750 0.750